# BeTc2Au

A PBEsol-optimized structure of BeTc2Au (SCAN, the Alexandria database).

The structure in CIF format:
```
data_BeTc2Au
_space_group_name_H-M_alt 'I 4/m m m'
_space_group_IT_number 139
_space_group_name_Hall '-I 4 2'
_cell_length_a 3.600
_cell_length_b 3.600
_cell_length_c 8.349
_cell_angle_alpha 90.00
_cell_angle_beta 90.00
_cell_angle_gamma 90.00
loop_
_atom_site_label
_atom_site_fract_x
_atom_site_fract_y
_atom_site_fract_z
Be1 0.000 0.000 0.000
Tc1 0.000 0.500 0.250
Au1 0.000 0.000 0.500
```

Computed properties:
raw total energy: -35.75 eV per atom
DOS at the Fermi energy: 7.91 states/eV/cell

=====

# BeTcAu3

A PBEsol-optimized structure of BeTcAu3 (SCAN, the Alexandria database).

The structure in CIF format:
```
data_BeTcAu3
_space_group_name_H-M_alt 'P m -3 m'
_space_group_IT_number 221
_space_group_name_Hall '-P 4 2 3'
_cell_length_a 4.912
_cell_length_b 4.912
_cell_length_c 4.912
_cell_angle_alpha 90.00
_cell_angle_beta 90.00
_cell_angle_gamma 90.00
loop_
_atom_site_label
_atom_site_fract_x
_atom_site_fract_y
_atom_site_fract_z
Be1 0.000 0.000 0.000
Tc1 0.500 0.500 0.500
Au1 0.000 0.500 0.500
```

Computed properties:
raw total energy: -47.83 eV per atom
DOS at the Fermi energy: 3.24 states/eV/cell

=====

# BeTc2Au

A PBEsol-optimized structure of BeTc2Au (SCAN, the Alexandria database).

The structure in CIF format:
```
data_BeTc2Au
_space_group_name_H-M_alt 'I -4 m 2'
_space_group_IT_number 119
_space_group_name_Hall 'I -4 -2'
_cell_length_a 3.824
_cell_length_b 3.824
_cell_length_c 7.396
_cell_angle_alpha 90.00
_cell_angle_beta 90.00
_cell_angle_gamma 90.00
loop_
_atom_site_label
_atom_site_fract_x
_atom_site_fract_y
_atom_site_fract_z
Be1 0.000 0.000 0.000
Tc1 0.000 0.000 0.500
Tc2 0.000 0.500 0.250
Au1 0.000 0.500 0.750
```

Computed properties:
raw total energy: -35.79 eV per atom
DOS at the Fermi energy: 6.01 states/eV/cell

=====

# BeTe2Au

A PBEsol-optimized structure of BeTe2Au (SCAN, the Alexandria database).

The structure in CIF format:
```
data_BeTe2Au
_space_group_name_H-M_alt 'C 1 2/m 1'
_space_group_IT_number 12
_cell_length_a 7.090
_cell_length_b 3.794
_cell_length_c 6.726
_cell_angle_alpha 90.00
_cell_angle_beta 109.09
_cell_angle_gamma 90.00
loop_
_space_group_symop_operation_xyz
'x,y,z'
'-x,-y,-z'
'-x,y,-z'
'x,-y,z'
'x+1/2,y+1/2,z'
'-x+1/2,-y+1/2,-z'
'-x+1/2,y+1/2,-z'
'x+1/2,-y+1/2,z'
loop_
_atom_site_label
_atom_site_fract_x
_atom_site_fract_y
_atom_site_fract_z
Be1 0.000 0.000 0.000
Te1 0.205 0.500 0.224
Au1 0.000 0.500 0.500
```

Computed properties:
raw total energy: -36.99 eV per atom
DOS at the Fermi energy: 3.05 states/eV/cell
energy relative to the elements, uncorrected: 0.01 eV/atom

=====

# BeTe2Au

A PBEsol-optimized structure of BeTe2Au (SCAN, the Alexandria database).

The structure in CIF format:
```
data_BeTe2Au
_space_group_name_H-M_alt 'I -4 2 d'
_space_group_IT_number 122
_space_group_name_Hall 'I -4 2bw'
_cell_length_a 5.954
_cell_length_b 5.954
_cell_length_c 11.399
_cell_angle_alpha 90.00
_cell_angle_beta 90.00
_cell_angle_gamma 90.00
loop_
_atom_site_label
_atom_site_fract_x
_atom_site_fract_y
_atom_site_fract_z
Be1 0.000 0.000 0.000
Te1 0.213 0.250 0.125
Au1 0.000 0.000 0.500
```

Computed properties:
raw total energy: -37.21 eV per atom
DOS at the Fermi energy: 9.49 states/eV/cell
energy relative to the elements, uncorrected: -0.21 eV/atom

=====

# BeTe3Au

A PBEsol-optimized structure of BeTe3Au (SCAN, the Alexandria database).

The structure in CIF format:
```
data_BeTe3Au
_space_group_name_H-M_alt 'P m -3 m'
_space_group_IT_number 221
_space_group_name_Hall '-P 4 2 3'
_cell_length_a 4.877
_cell_length_b 4.877
_cell_length_c 4.877
_cell_angle_alpha 90.00
_cell_angle_beta 90.00
_cell_angle_gamma 90.00
loop_
_atom_site_label
_atom_site_fract_x
_atom_site_fract_y
_atom_site_fract_z
Be1 0.000 0.000 0.000
Te1 0.000 0.000 0.500
Au1 0.500 0.500 0.500
```

Computed properties:
raw total energy: -36.43 eV per atom
DOS at the Fermi energy: 4.71 states/eV/cell
energy relative to the elements, uncorrected: 0.62 eV/atom

=====

# BeTeAu2

A PBEsol-optimized structure of BeTeAu2 (SCAN, the Alexandria database).

The structure in CIF format:
```
data_BeTeAu2
_space_group_name_H-M_alt 'C 1 2/m 1'
_space_group_IT_number 12
_cell_length_a 6.698
_cell_length_b 3.852
_cell_length_c 6.071
_cell_angle_alpha 90.00
_cell_angle_beta 111.53
_cell_angle_gamma 90.00
loop_
_space_group_symop_operation_xyz
'x,y,z'
'-x,-y,-z'
'-x,y,-z'
'x,-y,z'
'x+1/2,y+1/2,z'
'-x+1/2,-y+1/2,-z'
'-x+1/2,y+1/2,-z'
'x+1/2,-y+1/2,z'
loop_
_atom_site_label
_atom_site_fract_x
_atom_site_fract_y
_atom_site_fract_z
Be1 0.000 0.000 0.000
Te1 0.000 0.500 0.500
Au1 0.222 0.500 0.165
```

Computed properties:
raw total energy: -45.05 eV per atom
DOS at the Fermi energy: 3.32 states/eV/cell
energy relative to the elements, uncorrected: -0.07 eV/atom

=====

# BeTe2Au

A PBEsol-optimized structure of BeTe2Au (SCAN, the Alexandria database).

The structure in CIF format:
```
data_BeTe2Au
_space_group_name_H-M_alt 'P 4 m m'
_space_group_IT_number 99
_cell_length_a 3.712
_cell_length_b 3.712
_cell_length_c 6.784
_cell_angle_alpha 90.00
_cell_angle_beta 90.00
_cell_angle_gamma 90.00
loop_
_space_group_symop_operation_xyz
'x,y,z'
'-y,x,z'
'-x,-y,z'
'y,-x,z'
'-x,y,z'
'y,x,z'
'x,-y,z'
'-y,-x,z'
loop_
_atom_site_label
_atom_site_fract_x
_atom_site_fract_y
_atom_site_fract_z
Be1 0.000 0.000 0.000
Te1 0.000 0.000 0.626
Te2 0.500 0.500 0.155
Au1 0.500 0.500 0.756
```

Computed properties:
raw total energy: -36.87 eV per atom
DOS at the Fermi energy: 1.61 states/eV/cell
energy relative to the elements, uncorrected: 0.13 eV/atom

=====

# BeTe2Au

A PBEsol-optimized structure of BeTe2Au (SCAN, the Alexandria database).

The structure in CIF format:
```
data_BeTe2Au
_space_group_name_H-M_alt 'C 1 2/m 1'
_space_group_IT_number 12
_cell_length_a 6.026
_cell_length_b 7.719
_cell_length_c 4.883
_cell_angle_alpha 90.00
_cell_angle_beta 127.78
_cell_angle_gamma 90.00
loop_
_space_group_symop_operation_xyz
'x,y,z'
'-x,-y,-z'
'-x,y,-z'
'x,-y,z'
'x+1/2,y+1/2,z'
'-x+1/2,-y+1/2,-z'
'-x+1/2,y+1/2,-z'
'x+1/2,-y+1/2,z'
loop_
_atom_site_label
_atom_site_fract_x
_atom_site_fract_y
_atom_site_fract_z
Be1 0.000 0.000 0.000
Te1 0.250 0.250 0.500
Au1 0.000 0.500 0.000
```

Computed properties:
raw total energy: -36.83 eV per atom
DOS at the Fermi energy: 3.53 states/eV/cell
energy relative to the elements, uncorrected: 0.17 eV/atom

=====

# BeTe2Au

A PBEsol-optimized structure of BeTe2Au (SCAN, the Alexandria database).

The structure in CIF format:
```
data_BeTe2Au
_space_group_name_H-M_alt 'C m m m'
_space_group_IT_number 65
_space_group_name_Hall '-C 2 2'
_cell_length_a 5.961
_cell_length_b 7.762
_cell_length_c 3.774
_cell_angle_alpha 90.00
_cell_angle_beta 90.00
_cell_angle_gamma 90.00
loop_
_atom_site_label
_atom_site_fract_x
_atom_site_fract_y
_atom_site_fract_z
Be1 0.000 0.000 0.000
Te1 0.000 0.228 0.500
Au1 0.000 0.500 0.000
```

Computed properties:
raw total energy: -36.82 eV per atom
DOS at the Fermi energy: 3.53 states/eV/cell
energy relative to the elements, uncorrected: 0.18 eV/atom

=====

# BeTe2Au

A PBEsol-optimized structure of BeTe2Au (SCAN, the Alexandria database).

The structure in CIF format:
```
data_BeTe2Au
_space_group_name_H-M_alt 'P 1 m 1'
_space_group_IT_number 6
_cell_length_a 4.312
_cell_length_b 3.798
_cell_length_c 5.965
_cell_angle_alpha 90.00
_cell_angle_beta 95.31
_cell_angle_gamma 90.00
loop_
_space_group_symop_operation_xyz
'x,y,z'
'x,-y,z'
loop_
_atom_site_label
_atom_site_fract_x
_atom_site_fract_y
_atom_site_fract_z
Be1 0.000 0.000 0.000
Te1 0.566 0.000 0.705
Te2 0.942 0.500 0.273
Au1 0.354 0.500 0.974
```

Computed properties:
raw total energy: -37.13 eV per atom
DOS at the Fermi energy: 1.65 states/eV/cell
energy relative to the elements, uncorrected: -0.13 eV/atom

=====

# Be2TeAu2

A PBEsol-optimized structure of Be2TeAu2 (SCAN, the Alexandria database).

The structure in CIF format:
```
data_Be2TeAu2
_space_group_name_H-M_alt 'I 4/m m m'
_space_group_IT_number 139
_space_group_name_Hall '-I 4 2'
_cell_length_a 3.638
_cell_length_b 3.638
_cell_length_c 12.232
_cell_angle_alpha 90.00
_cell_angle_beta 90.00
_cell_angle_gamma 90.00
loop_
_atom_site_label
_atom_site_fract_x
_atom_site_fract_y
_atom_site_fract_z
Be1 0.000 0.500 0.250
Te1 0.000 0.000 0.000
Au1 0.000 0.000 0.371
```

Computed properties:
raw total energy: -37.03 eV per atom
DOS at the Fermi energy: 2.23 states/eV/cell
energy relative to the elements, uncorrected: -0.18 eV/atom